# Dy3Ni8Sn

A relaxed Dy3Ni8Sn crystal (GGA-PBE, the Alexandria database).

a = 8.718 Å, b = 8.718 Å, c = 8.718 Å
α = 33.57°, β = 33.57°, γ = 33.57°
Element x y z (fractional)
Dy 0.000 0.000 0.000
Dy 0.127 0.127 0.127
Dy 0.508 0.508 0.508
Ni 0.066 0.066 0.565
Ni 0.066 0.565 0.066
Ni 0.066 0.565 0.565
Ni 0.315 0.315 0.315
Ni 0.565 0.066 0.066
Ni 0.565 0.066 0.565
Ni 0.565 0.565 0.066
Ni 0.815 0.815 0.815
Sn 0.632 0.632 0.632

Summary:
- Total magnetization: 0.0 μB per cell
- D(E_F): 0.8451 states/eV per atom
- Space-group type: R3m (160)
- Energy of formation from the pure elements: -424 meV per atom